A plane-wave DFT calculation with PBE-GGA was carried out for an optimized crystal structure of ScSiRu2.

* total DFT energy (no corrections): -30.9 eV/cell
* crystal system: cubic
* ΔE_f (raw): -0.147 eV/atom

Unit cell a=4.4122 b=4.4122 c=4.4122 alpha=60.00 beta=60.00 gamma=60.00
Closest atoms and distances in Å follow each position.
Atoms (fractional coordinates):
Sc 0.0000 0.0000 0.0000  4 Ru 2.70, 4 Si 2.70
Si 0.7500 0.7500 0.7500  4 Ru 2.70, 4 Sc 2.70
Ru 0.2500 0.2500 0.2500  4 Ru 2.70, 4 Sc 2.70
Ru 0.5000 0.5000 0.5000  4 Ru 2.70, 4 Si 2.70

---

A plane-wave DFT calculation with PBE-GGA was carried out for an optimized crystal structure of CaHf2Ag2.

* total DFT energy (no corrections): -53.7 eV/cell
* ΔH_f (0 K): 0.155 eV per atom
* crystal system: tetragonal
* polymorph energy (0 for the lowest one): 0.000 eV/atom

Unit cell a=8.5964 b=8.5964 c=3.0237 alpha=90.00 beta=90.00 gamma=90.00
Closest atoms and distances in Å follow each position.
Atoms (fractional coordinates):
Ca 0.0000 0.0000 0.0000  2 Ca 3.02
Ca 0.5000 0.5000 0.0000  2 Ca 3.02
Hf 0.1231 0.3769 0.0000  6 Ag 2.90-2.99, 3 Hf 2.99-3.02
Hf 0.3769 0.8769 0.0000  6 Ag 2.90-2.99, 3 Hf 2.99-3.02
Hf 0.6231 0.1231 0.0000  6 Ag 2.90-2.99, 3 Hf 2.99-3.02
Hf 0.8769 0.6231 0.0000  6 Ag 2.90-2.99, 3 Hf 2.99-3.02
Ag 0.1733 0.6733 0.5000  6 Hf 2.90-2.99, 2 Ag 3.02
Ag 0.3267 0.1733 0.5000  6 Hf 2.90-2.99, 2 Ag 3.02
Ag 0.6733 0.8267 0.5000  6 Hf 2.90-2.99, 2 Ag 3.02
Ag 0.8267 0.3267 0.5000  6 Hf 2.90-2.99, 2 Ag 3.02

---

A plane-wave DFT calculation with PBE-GGA was carried out for an optimized crystal structure of Li11Ca.

* total DFT energy (no corrections): -45.6 eV/cell
* ΔH_f (0 K): 0.023 eV per atom
* crystal system: tetragonal

Unit cell a=9.1270 b=9.1270 c=9.1270 alpha=100.59 beta=100.59 gamma=129.23
Closest atoms and distances in Å follow each position.
Atoms (fractional coordinates):
Li 0.0000 0.0000 0.0000  10 Li 2.86-3.08
Li 0.0000 0.0000 0.5000  10 Li 2.86-3.08
Li 0.0000 0.5000 0.0000  10 Li 2.86-3.08
Li 0.1250 0.8750 0.2500  12 Li 3.08-3.18
Li 0.1306 0.5547 0.3318  8 Li 2.85-3.18
Li 0.1306 0.7988 0.5759  8 Li 2.85-3.18
Li 0.2012 0.2771 0.3318  8 Li 2.85-3.18
Li 0.2012 0.8694 0.9241  8 Li 2.85-3.18
Li 0.2771 0.2012 0.8318  8 Li 2.85-3.18
Li 0.2771 0.4453 0.0759  8 Li 2.85-3.18
Li 0.4453 0.2771 0.5759  8 Li 2.85-3.18
Li 0.4453 0.8694 0.1682  8 Li 2.85-3.18
Li 0.5000 0.0000 0.5000  10 Li 2.86-3.08
Li 0.5547 0.1306 0.8318  8 Li 2.85-3.18
Li 0.5547 0.7229 0.4241  8 Li 2.85-3.18
Li 0.7229 0.5547 0.9241  8 Li 2.85-3.18
Li 0.7229 0.7988 0.1682  8 Li 2.85-3.18
Li 0.7988 0.1306 0.0759  8 Li 2.85-3.18
Li 0.7988 0.7229 0.6682  8 Li 2.85-3.18
Li 0.8694 0.2012 0.4241  8 Li 2.85-3.18
Li 0.8694 0.4453 0.6682  8 Li 2.85-3.18
Li 0.8750 0.1250 0.7500  12 Li 3.08-3.18
Ca 0.3750 0.6250 0.7500  18 Li 3.64-3.91
Ca 0.6250 0.3750 0.2500  18 Li 3.64-3.91

---

A plane-wave DFT calculation with PBE-GGA was carried out for an optimized crystal structure of ZrVBP2.

* total DFT energy (no corrections): -26.0 eV/cell
* ΔH_f (0 K): 1.828 eV per atom
* crystal system: tetragonal

Unit cell a=4.9315 b=4.9315 c=4.8044 alpha=90.00 beta=90.00 gamma=90.00
Closest atoms and distances in Å follow each position.
Atoms (fractional coordinates):
Zr 0.0000 0.0000 0.0000  2 V 2.40, 4 P 2.47
V 0.0000 0.0000 0.5000  2 Zr 2.40
B 0.5000 0.5000 0.5000  8 P 3.44, 4 V 3.49
P 0.0000 0.5000 0.0000  2 Zr 2.47
P 0.5000 0.0000 0.0000  2 Zr 2.47

---

A plane-wave DFT calculation with PBE-GGA was carried out for an optimized crystal structure of Tm2ScCo.

* total DFT energy (no corrections): -22.7 eV/cell
* ΔH_f (0 K): -0.082 eV per atom
* crystal system: tetragonal
* polymorph energy (0 for the lowest one): 0.126 eV/atom

Unit cell a=3.3388 b=3.3388 c=8.2547 alpha=90.00 beta=90.00 gamma=90.00
Closest atoms and distances in Å follow each position.
Atoms (fractional coordinates):
Tm 0.0000 0.0000 0.1936  4 Co 2.85
Tm 0.0000 0.0000 0.8064  4 Co 2.85
Sc 0.5000 0.5000 0.5000  4 Sc 3.34, 8 Tm 3.46
Co 0.5000 0.5000 0.0000  8 Tm 2.85

---

A plane-wave DFT calculation with PBE-GGA was carried out for an optimized crystal structure of Tc2NiW.

* total DFT energy (no corrections): -39.0 eV/cell
* ΔH_f (0 K): 0.111 eV per atom
* crystal system: monoclinic
* polymorph energy (0 for the lowest one): 0.126 eV/atom

Unit cell a=4.6684 b=4.6684 c=4.6499 alpha=100.27 beta=100.27 gamma=34.81
Closest atoms and distances in Å follow each position.
Atoms (fractional coordinates):
Tc 0.0000 0.0000 0.0000  5 Tc 2.66-2.79, 4 Ni 2.70-2.72, 3 W 2.72-2.79
Tc 0.2494 0.2494 0.7636  5 Tc 2.66-2.79, 4 W 2.66-2.76, 3 Ni 2.69-2.75
Ni 0.5028 0.5028 0.5038  3 W 2.64-2.67, 7 Tc 2.69-2.75, 2 Ni 2.79
W 0.7579 0.7579 0.2795  3 Ni 2.64-2.67, 7 Tc 2.66-2.79, 2 W 2.79

---

A plane-wave DFT calculation with PBE-GGA was carried out for an optimized crystal structure of Ac2La3Er3.

* total DFT energy (no corrections): -71.5 eV/cell
* ΔH_f (0 K): 0.118 eV per atom
* crystal system: orthorhombic

Unit cell a=11.3002 b=11.3002 c=14.4638 alpha=90.00 beta=90.00 gamma=161.26
Closest atoms and distances in Å follow each position.
Atoms (fractional coordinates):
Ac 0.2393 0.7607 0.6217  5 Ac 3.68-4.00, 4 La 3.71-3.84, 2 Er 3.84
Ac 0.2393 0.7607 0.8783  5 Ac 3.68-4.00, 4 La 3.71-3.84, 2 Er 3.84
Ac 0.7607 0.2393 0.1217  5 Ac 3.68-4.00, 4 La 3.71-3.84, 2 Er 3.84
Ac 0.7607 0.2393 0.3783  5 Ac 3.68-4.00, 4 La 3.71-3.84, 2 Er 3.84
La 0.3862 0.6138 0.5007  5 Er 3.58-3.69, 3 La 3.61-3.68, 3 Ac 3.71-3.79
La 0.3862 0.6138 0.9993  5 Er 3.58-3.69, 3 La 3.61-3.68, 3 Ac 3.71-3.79
La 0.3900 0.6100 0.7500  4 Er 3.60, 4 La 3.61-3.68, 2 Ac 3.84
La 0.6100 0.3900 0.2500  4 Er 3.60, 4 La 3.61-3.68, 2 Ac 3.84
La 0.6138 0.3862 0.0007  5 Er 3.58-3.69, 3 La 3.61-3.68, 3 Ac 3.71-3.79
La 0.6138 0.3862 0.4993  5 Er 3.58-3.69, 3 La 3.61-3.68, 3 Ac 3.71-3.79
Er 0.0039 0.9961 0.6272  6 Er 3.53-3.68, 6 La 3.58-3.69
Er 0.0039 0.9961 0.8728  6 Er 3.53-3.68, 6 La 3.58-3.69
Er 0.3867 0.6133 0.2500  6 Er 3.53-3.68, 2 La 3.63, 4 Ac 3.84
Er 0.6133 0.3867 0.7500  6 Er 3.53-3.68, 2 La 3.63, 4 Ac 3.84
Er 0.9961 0.0039 0.1272  6 Er 3.53-3.68, 6 La 3.58-3.69
Er 0.9961 0.0039 0.3728  6 Er 3.53-3.68, 6 La 3.58-3.69

---

A plane-wave DFT calculation with PBE-GGA was carried out for an optimized crystal structure of Rb2CrSiTe4.

* total DFT energy (no corrections): -64.0 eV/cell
* crystal system: orthorhombic
* ΔE_f (raw): -0.307 eV/atom

Unit cell a=8.9479 b=8.9479 c=8.9479 alpha=120.25 beta=119.31 gamma=90.38
Closest atoms and distances in Å follow each position.
Atoms (fractional coordinates):
Rb 0.0000 0.0000 0.0000  6 Te 3.43-3.44
Rb 0.5000 0.0000 0.0000  6 Te 3.52-3.54
Rb 0.5000 0.0000 0.5000  6 Te 3.43-3.44
Rb 0.5000 0.5000 0.5000  6 Te 3.52-3.54
Cr 0.0000 0.0000 0.5000  6 Te 2.82-2.87
Cr 0.0000 0.5000 0.0000  6 Te 2.82-2.87
Si 0.0000 0.5000 0.5000  6 Te 2.94-2.96
Si 0.5000 0.5000 0.0000  6 Te 2.94-2.96
Te 0.1779 0.7303 0.4476  2 Cr 2.87, 1 Si 2.94
Te 0.2173 0.2697 0.9476  2 Cr 2.87, 1 Si 2.94
Te 0.2221 0.2609 0.5387  1 Cr 2.82, 2 Si 2.96
Te 0.2221 0.6834 0.9613  1 Cr 2.82, 2 Si 2.96
Te 0.7779 0.3166 0.0387  1 Cr 2.82, 2 Si 2.96
Te 0.7779 0.7391 0.4613  1 Cr 2.82, 2 Si 2.96
Te 0.7827 0.7303 0.0524  2 Cr 2.87, 1 Si 2.94
Te 0.8221 0.2697 0.5524  2 Cr 2.87, 1 Si 2.94

---

- Among the records above, which one has the lowest total DFT energy (no corrections)?
  Ac2La3Er3

---

- Among the records above, which one has the highest total DFT energy (no corrections)?
  Tm2ScCo

---

Repeat the fifth record exactly.
A plane-wave DFT calculation with PBE-GGA was carried out for an optimized crystal structure of Tm2ScCo.

* total DFT energy (no corrections): -22.7 eV/cell
* ΔH_f (0 K): -0.082 eV per atom
* crystal system: tetragonal
* polymorph energy (0 for the lowest one): 0.126 eV/atom

Unit cell a=3.3388 b=3.3388 c=8.2547 alpha=90.00 beta=90.00 gamma=90.00
Closest atoms and distances in Å follow each position.
Atoms (fractional coordinates):
Tm 0.0000 0.0000 0.1936  4 Co 2.85
Tm 0.0000 0.0000 0.8064  4 Co 2.85
Sc 0.5000 0.5000 0.5000  4 Sc 3.34, 8 Tm 3.46
Co 0.5000 0.5000 0.0000  8 Tm 2.85

---

- Which value of total DFT energy (no corrections) does entry 1 give?
  -30.9 eV/cell